Computed, not measured: a relaxed structure of CaScCr2 at the GGA-PBE level of DFT.

Computed properties:
Magnetic moment ... 0.000 μB per atom
Energy of formation ... 3.84 eV/f.u.
DFT total energy ... -5.93 eV per atom
E above lowest polymorph ... 2.501 eV/f.u.

a b c (Å): 5.515 9.364 2.727
angles (deg): 90.00 90.97 90.00
Space group C2/m (No. 12)
Asymmetric unit:
Ca (0.000, 0.000, 0.000)
Sc (0.000, 0.500, 0.000)
Cr (0.250, 0.250, 0.500)